# 1
The following is a GGA-PBE calculation of a geometry-optimized SnH2Br structure, from the Alexandria database.

**Space group**: I4_1/amd, No. 141
**Crystal system**: tetragonal

Cell: 6.905 6.905 6.905 Å, 139.84 139.84 58.09°
Fractional coordinates of all 8 atoms:
Sn1 0.375 0.625 0.750
Sn2 0.625 0.375 0.250
H1 0.000 0.500 0.500
H2 0.500 0.000 0.000
H3 0.500 0.500 0.000
H4 0.500 0.500 0.500
Br1 0.125 0.875 0.250
Br2 0.875 0.125 0.750

# 2
The following is a GGA-PBE calculation of a geometry-optimized Pm4SmYS8 structure, from the Alexandria database.

**Space group**: R3m, No. 160
**Crystal system**: trigonal

Cell: 8.224 8.224 8.224 Å, 60.23 60.23 60.23°
Fractional coordinates of all 14 atoms:
Pm1 0.000 0.000 0.000
Pm2 0.124 0.624 0.624
Pm3 0.624 0.124 0.624
Pm4 0.624 0.624 0.124
Sm1 0.248 0.248 0.248
Y1 0.624 0.624 0.624
S1 0.381 0.381 0.381
S2 0.386 0.386 0.850
S3 0.386 0.850 0.386
S4 0.400 0.862 0.862
S5 0.850 0.386 0.386
S6 0.862 0.400 0.862
S7 0.862 0.862 0.400
S8 0.867 0.867 0.867

# 3
The following is a GGA-PBE calculation of a geometry-optimized YScP2Rh5 structure, from the Alexandria database.

**Formation enthalpy at 0 K**: -0.727 eV/atom
**Space group**: P4/mmm, No. 123
**Crystal system**: tetragonal

Cell: 4.056 4.056 10.133 Å, 90.00 90.00 90.00°
Fractional coordinates of all 9 atoms:
Y1 0.000 0.000 0.000
Sc1 0.000 0.000 0.500
P1 0.500 0.500 0.223
P2 0.500 0.500 0.777
Rh1 0.000 0.500 0.320
Rh2 0.000 0.500 0.680
Rh3 0.500 0.000 0.320
Rh4 0.500 0.000 0.680
Rh5 0.500 0.500 0.000

# 4
The following is a GGA-PBE calculation of a geometry-optimized Cu2AuO4 structure, from the Alexandria database.

**Space group**: P-42m, No. 111
**Crystal system**: tetragonal

Cell: 4.568 4.568 4.852 Å, 90.00 90.00 90.00°
Fractional coordinates of all 7 atoms:
Cu1 0.000 0.500 0.000
Cu2 0.500 0.000 0.000
Au1 0.000 0.000 0.500
O1 0.236 0.236 0.198
O2 0.236 0.764 0.802
O3 0.764 0.236 0.802
O4 0.764 0.764 0.198

Number 1: total magnetization 0.0 μB per cell, raw total energy -11.96 eV/f.u.. Number 2: total magnetization 0.0 μB per cell, raw total energy -90.12 eV/f.u.. Number 3: total magnetization 0.0 μB per cell, raw total energy -66.92 eV/f.u.. Number 4: total magnetization 0.0 μB per cell, raw total energy -31.22 eV/f.u..